No. 1
Material: Y6TlZn
Method: DFT, GGA-PBE
State: relaxed

Geometry as CIF:
```
data_Y6TlZn
_chemical_formula_sum 'Y12 Tl2 Zn2'
_cell_length_a 5.105
_cell_length_b 5.105
_cell_length_c 17.962
_cell_angle_alpha 90.00
_cell_angle_beta 90.00
_cell_angle_gamma 90.00
_symmetry_space_group_name_H-M 'I 4/m m m'
_symmetry_Int_Tables_number 139
_symmetry_space_group_name_Hall '-I 4 2'
loop_
_atom_site_label
_atom_site_type_symbol
_atom_site_fract_x
_atom_site_fract_y
_atom_site_fract_z
Y1 Y 0.000 0.000 0.249
Y2 Y 0.000 0.500 0.109
Tl1 Tl 0.000 0.000 0.500
Zn1 Zn 0.000 0.000 0.000
```

E_tot: -5.46 eV per atom
calculated formation energy: -124 kJ/mol of formula units
total moment: 0.0 μB per formula unit


No. 2
Material: Y2TlZn2
Method: DFT, GGA-PBE
State: relaxed

Geometry as CIF:
```
data_Y2TlZn2
_chemical_formula_sum 'Y4 Tl2 Zn4'
_cell_length_a 8.422
_cell_length_b 8.422
_cell_length_c 3.563
_cell_angle_alpha 90.00
_cell_angle_beta 90.00
_cell_angle_gamma 90.00
_symmetry_space_group_name_H-M 'P 4/m b m'
_symmetry_Int_Tables_number 127
_symmetry_space_group_name_Hall '-P 4 2ab'
loop_
_atom_site_label
_atom_site_type_symbol
_atom_site_fract_x
_atom_site_fract_y
_atom_site_fract_z
Y1 Y 0.157 0.343 0.000
Tl1 Tl 0.000 0.000 0.000
Zn1 Zn 0.139 0.639 0.500
```

E_tot: -3.69 eV per atom
calculated formation energy: -60 kJ/mol of formula units
total moment: 0.2 μB per formula unit


No. 3
Material: Y4TlZn
Method: DFT, GGA-PBE
State: relaxed

Geometry as CIF:
```
data_Y4TlZn
_chemical_formula_sum 'Y4 Tl1 Zn1'
_cell_length_a 3.610
_cell_length_b 3.610
_cell_length_c 12.868
_cell_angle_alpha 90.00
_cell_angle_beta 90.00
_cell_angle_gamma 90.00
_symmetry_space_group_name_H-M 'P 4/m m m'
_symmetry_Int_Tables_number 123
_symmetry_space_group_name_Hall '-P 4 2'
loop_
_atom_site_label
_atom_site_type_symbol
_atom_site_fract_x
_atom_site_fract_y
_atom_site_fract_z
Y1 Y 0.000 0.000 0.136
Y2 Y 0.500 0.500 0.336
Tl1 Tl 0.000 0.000 0.500
Zn1 Zn 0.500 0.500 0.000
```

E_tot: -5.15 eV per atom
energy above the lowest structure with this stoichiometry: 0.0 meV per atom
calculated formation energy: -138 kJ/mol of formula units
total moment: 0.0 μB per formula unit


No. 4
Material: Y2TlZn
Method: DFT, GGA-PBE
State: relaxed

Geometry as CIF:
```
data_Y2TlZn
_chemical_formula_sum 'Y4 Tl2 Zn2'
_cell_length_a 3.426
_cell_length_b 5.714
_cell_length_c 12.458
_cell_angle_alpha 90.00
_cell_angle_beta 90.00
_cell_angle_gamma 90.00
_symmetry_space_group_name_H-M 'I m m m'
_symmetry_Int_Tables_number 71
_symmetry_space_group_name_Hall '-I 2 2'
loop_
_atom_site_label
_atom_site_type_symbol
_atom_site_fract_x
_atom_site_fract_y
_atom_site_fract_z
Y1 Y 0.000 0.000 0.236
Tl1 Tl 0.000 0.000 0.500
Zn1 Zn 0.000 0.000 0.000
```

E_tot: -3.80 eV per atom
calculated formation energy: 133 kJ/mol of formula units
total moment: 0.0 μB per formula unit


The highest total moment belongs to which entry? Y2TlZn2